Record 1
Below is a relaxed structure of Ce2DyC2, with properties calculated at the PBE level.

The space group is C2/m (No. 12) and the conventional cell measures 11.456, 5.220 and 7.222 Å, with angles of 90.00, 109.52 and 90.00 degrees. The asymmetric unit holds Ce at (0.002, 0.000, 0.242), Ce at (0.166, 0.500, 0.082), Dy at (0.160, 0.500, 0.591), C at (0.004, 0.500, 0.754) and C at (0.159, 0.000, 0.082).

The calculation puts the energy of formation from the pure elements at -132 meV per atom.

Record 2
Below is a relaxed structure of ZnSi2N, with properties calculated at the PBE level.

The space group is Fm-3m (No. 225) and the conventional cell measures 5.941, 5.941 and 5.941 Å, with angles of 90.00, 90.00 and 90.00 degrees. The asymmetric unit holds Zn at (0.000, 0.000, 0.000), Si at (0.250, 0.250, 0.250) and N at (0.000, 0.000, 0.500).

The calculation puts the formation energy (no corrections) at 1221.1 meV per atom. As for the energy relative to the lowest polymorph listed for this composition: 4.092 eV/f.u.

Record 3
Below is a relaxed structure of PS3N, with properties calculated at the PBE level.

The space group is Pm-3m (No. 221) and the conventional cell measures 4.509, 4.509 and 4.509 Å, with angles of 90.00, 90.00 and 90.00 degrees. The asymmetric unit holds P at (0.000, 0.000, 0.000), S at (0.000, 0.000, 0.500) and N at (0.500, 0.500, 0.500).

The calculation puts the formation energy (no corrections) at 1630.6 meV per atom. As for the energy relative to the lowest polymorph listed for this composition: 1.325 eV/f.u.

Record 4
Below is a relaxed structure of BaZnIrC2, with properties calculated at the PBE level.

The space group is P4/mmm (No. 123) and the conventional cell measures 4.528, 4.528 and 5.547 Å, with angles of 90.00, 90.00 and 90.00 degrees. The asymmetric unit holds Ba at (0.000, 0.000, 0.000), Zn at (0.000, 0.000, 0.500), Ir at (0.500, 0.500, 0.500) and C at (0.000, 0.500, 0.000).

The calculation puts the energy of formation from the pure elements at 3371 meV per atom.

Record 5
Below is a relaxed structure of Rb3HfV, with properties calculated at the PBE level.

The space group is Pm-3m (No. 221) and the conventional cell measures 6.726, 6.726 and 6.726 Å, with angles of 90.00, 90.00 and 90.00 degrees. The asymmetric unit holds Rb at (0.000, 0.000, 0.500), Hf at (0.500, 0.500, 0.500) and V at (0.000, 0.000, 0.000).

The calculation puts the energy of formation from the pure elements at 1835 meV per atom. As for the energy relative to the lowest polymorph listed for this composition: 0.000 eV/f.u.

Record 6
Below is a relaxed structure of Np2IrPt, with properties calculated at the PBE level.

The space group is P4/mmm (No. 123) and the conventional cell measures 3.401, 3.401 and 7.111 Å, with angles of 90.00, 90.00 and 90.00 degrees. The asymmetric unit holds Np at (0.000, 0.000, 0.241), Ir at (0.500, 0.500, 0.000) and Pt at (0.500, 0.500, 0.500).

The calculation puts the energy of formation from the pure elements at -335 meV per atom.

Record 7
Below is a relaxed structure of KLi2AuS2, with properties calculated at the PBE level.

The space group is Pnnm (No. 58) and the conventional cell measures 6.460, 10.007 and 4.286 Å, with angles of 90.00, 90.00 and 90.00 degrees. The asymmetric unit holds K at (0.000, 0.000, 0.000), Li at (0.063, 0.283, 0.500), Au at (0.000, 0.500, 0.000) and S at (0.225, 0.318, 0.000).

The calculation puts the formation energy (no corrections) at -1001.4 meV per atom.

Record 8
Below is a relaxed structure of Rb3Dy2HoS6, with properties calculated at the PBE level.

The space group is C2/m (No. 12) and the conventional cell measures 7.056, 12.221 and 8.040 Å, with angles of 90.00, 107.01 and 90.00 degrees. The asymmetric unit holds Rb at (0.000, 0.000, 0.000), Rb at (0.000, 0.333, 0.000), Dy at (0.000, 0.167, 0.500), Ho at (0.000, 0.500, 0.500), S at (0.230, 0.334, 0.692) and S at (0.232, 0.000, 0.692).

The calculation puts the formation energy (no corrections) at -1855.7 meV per atom.

Record 9
Below is a relaxed structure of LiGe2Pb, with properties calculated at the PBE level.

The space group is I-42d (No. 122) and the conventional cell measures 8.022, 8.022 and 5.481 Å, with angles of 90.00, 90.00 and 90.00 degrees. The asymmetric unit holds Li at (0.000, 0.000, 0.000), Ge at (0.225, 0.250, 0.125) and Pb at (0.000, 0.000, 0.500).

The calculation puts the energy of formation from the pure elements at 162 meV per atom.

Record 10
Below is a relaxed structure of Ba2TcPt, with properties calculated at the PBE level.

The space group is Fm-3m (No. 225) and the conventional cell measures 7.818, 7.818 and 7.818 Å, with angles of 90.00, 90.00 and 90.00 degrees. The asymmetric unit holds Ba at (0.250, 0.250, 0.250), Tc at (0.000, 0.000, 0.000) and Pt at (0.000, 0.000, 0.500).

The calculation puts the energy of formation from the pure elements at 523 meV per atom. As for the energy relative to the lowest polymorph listed for this composition: 2.256 eV/f.u.

Record 11
Below is a relaxed structure of Pm6Bi3As2Se, with properties calculated at the PBE level.

The space group is C2/m (No. 12) and the conventional cell measures 19.225, 4.386 and 8.843 Å, with angles of 90.00, 103.86 and 90.00 degrees. The asymmetric unit holds Pm at (0.006, 0.000, 0.244), Pm at (0.165, 0.500, 0.098), Pm at (0.172, 0.500, 0.571), Bi at (0.000, 0.500, 0.500), Bi at (0.165, 0.000, 0.833), As at (0.167, 0.000, 0.333) and Se at (0.000, 0.500, 0.000).

The calculation puts the formation energy (no corrections) at -1279.9 meV per atom.

Record 12
Below is a relaxed structure of ZnNi2Se, with properties calculated at the PBE level.

The space group is I-42d (No. 122) and the conventional cell measures 3.908, 3.908 and 15.662 Å, with angles of 90.00, 90.00 and 90.00 degrees. The asymmetric unit holds Zn at (0.000, 0.000, 0.000), Ni at (0.219, 0.250, 0.625) and Se at (0.000, 0.000, 0.500).

The calculation puts the formation energy (no corrections) at 57.7 meV per atom. As for the energy relative to the lowest polymorph listed for this composition: 0.497 eV/f.u.

Record 13
Below is a relaxed structure of BaNa2AlSe4, with properties calculated at the PBE level.

The space group is I-42m (No. 121) and the conventional cell measures 7.567, 7.567 and 8.103 Å, with angles of 90.00, 90.00 and 90.00 degrees. The asymmetric unit holds Ba at (0.000, 0.000, 0.000), Na at (0.000, 0.500, 0.250), Al at (0.000, 0.000, 0.500) and Se at (0.192, 0.192, 0.345).

The calculation puts the formation energy (no corrections) at -1140.4 meV per atom.

Record 14
Below is a relaxed structure of VSb2IBr, with properties calculated at the PBE level.

The space group is P4/mmm (No. 123) and the conventional cell measures 5.531, 5.531 and 5.563 Å, with angles of 90.00, 90.00 and 90.00 degrees. The asymmetric unit holds V at (0.000, 0.000, 0.000), Sb at (0.000, 0.500, 0.500), I at (0.500, 0.500, 0.000) and Br at (0.500, 0.500, 0.500).

The calculation puts the formation energy (no corrections) at 1478.6 meV per atom. As for the energy relative to the lowest polymorph listed for this composition: 6.600 eV/f.u.

Record 15
Below is a relaxed structure of Ce8As3PSe4, with properties calculated at the PBE level.

The space group is R-3m (No. 166, hexagonal axes) and the conventional cell measures 8.4055, 8.4055 and 20.5900 Å, with angles of 90.00, 90.00 and 120.00 degrees. The asymmetric unit holds Ce at (0.0000, 0.0000, 0.2484), Ce at (0.0054, 0.5027, 0.2471), As at (0.0000, 0.5000, 0.5000), P at (0.0000, 0.0000, 0.5000), Se at (0.0000, 0.0000, 0.0000) and Se at (0.0000, 0.5000, 0.0000).

The calculation puts the formation energy (no corrections) at -1653.4 meV per atom.

Record 16
Below is a relaxed structure of Zn4CdPd7, with properties calculated at the PBE level.

The space group is C2/m (No. 12) and the conventional cell measures 11.103, 4.850 and 8.913 Å, with angles of 90.00, 122.72 and 90.00 degrees. The asymmetric unit holds Zn at (0.067, 0.000, 0.269), Zn at (0.219, 0.000, 0.826), Cd at (0.000, 0.500, 0.500), Pd at (0.000, 0.000, 0.500), Pd at (0.066, 0.500, 0.854), Pd at (0.152, 0.000, 0.063) and Pd at (0.214, 0.500, 0.406).

The calculation puts the energy of formation from the pure elements at -198 meV per atom.

Record 17
Below is a relaxed structure of Sc2NiRuW, with properties calculated at the PBE level.

The space group is P4/mmm (No. 123) and the conventional cell measures 5.035, 5.035 and 4.568 Å, with angles of 90.00, 90.00 and 90.00 degrees. The asymmetric unit holds Sc at (0.000, 0.500, 0.000), Ni at (0.000, 0.000, 0.500), Ru at (0.500, 0.500, 0.500) and W at (0.500, 0.500, 0.000).

The calculation puts the energy of formation from the pure elements at 1108 meV per atom.

Record 18
Below is a relaxed structure of InNiHg2, with properties calculated at the PBE level.

The space group is P4/mmm (No. 123) and the conventional cell measures 3.110, 3.110 and 8.626 Å, with angles of 90.00, 90.00 and 90.00 degrees. The asymmetric unit holds In at (0.000, 0.000, 0.000), Ni at (0.000, 0.000, 0.500) and Hg at (0.500, 0.500, 0.305).

The calculation puts the energy of formation from the pure elements at 188 meV per atom.

Record 19
Below is a relaxed structure of Sr2TcO5, with properties calculated at the PBE level.

The space group is Cmcm (No. 63) and the conventional cell measures 3.955, 12.496 and 11.031 Å, with angles of 90.00, 90.00 and 90.00 degrees. The asymmetric unit holds Sr at (0.000, 0.141, 0.066), Tc at (0.000, 0.152, 0.750), O at (0.000, 0.048, 0.628), O at (0.000, 0.263, 0.620) and O at (0.000, 0.338, 0.250).

The calculation puts the formation energy (no corrections) at -2089.2 meV per atom. As for the energy relative to the lowest polymorph listed for this composition: 0.857 eV/f.u.

Record 20
Below is a relaxed structure of CsPa4Co3S12, with properties calculated at the PBE level.

The space group is Im-3 (No. 204) and the conventional cell measures 9.749, 9.749 and 9.749 Å, with angles of 90.00, 90.00 and 90.00 degrees. The asymmetric unit holds Cs at (0.000, 0.000, 0.000), Pa at (0.250, 0.250, 0.250), Co at (0.000, 0.000, 0.500) and S at (0.000, 0.328, 0.168).

The calculation puts the formation energy (no corrections) at -1030.0 meV per atom.